LiCrO2F, optimized geometry, DFT GGA+U; total magnetization = 0.400 μB per atom; space group = No. 123; E = -6.006 eV/atom
1.0
3.747 0.000 0.000
0.000 3.747 0.000
0.000 0.000 3.944
Li Cr O F
1 1 2 1
direct
0.000 0.000 0.000
0.500 0.500 0.500
0.000 0.500 0.500
0.500 0.000 0.500
0.500 0.500 0.000